No. 1
Zr5C7: relaxed, GGA-PBE.

CIF file:
```
data_Zr5C7
_cell_length_a 7.234
_cell_length_b 7.234
_cell_length_c 5.928
_cell_angle_alpha 90.00
_cell_angle_beta 90.00
_cell_angle_gamma 90.00
_symmetry_space_group_name_H-M 'I 4 m m'
_symmetry_Int_Tables_number 107
_symmetry_space_group_name_Hall 'I 4 -2'
loop_
_atom_site_label
_atom_site_fract_x
_atom_site_fract_y
_atom_site_fract_z
Zr1 0.000 0.000 0.000
Zr2 0.207 0.207 0.468
C1 0.000 0.000 0.612
C2 0.000 0.311 0.158
C3 0.000 0.500 0.132
```

Computed properties:
Raw total energy = -8.927 eV/atom
Energy of formation from the pure elements = 15 meV/atom

***

No. 2
Zr4C3: relaxed, GGA-PBE.

CIF file:
```
data_Zr4C3
_cell_length_a 5.0310
_cell_length_b 5.0310
_cell_length_c 4.6935
_cell_angle_alpha 90.00
_cell_angle_beta 90.00
_cell_angle_gamma 120.00
_symmetry_space_group_name_H-M 'P 6/m m m'
_symmetry_Int_Tables_number 191
_symmetry_space_group_name_Hall '-P 6 2'
loop_
_atom_site_label
_atom_site_fract_x
_atom_site_fract_y
_atom_site_fract_z
Zr1 0.0000 0.0000 0.2470
Zr2 0.3333 0.6667 0.5000
C1 0.0000 0.5000 0.0000
```

Computed properties:
Relative energy among the computed polymorphs = 1770 meV per atom
Raw total energy = -7.741 eV/atom
Energy of formation from the pure elements = 1097 meV/atom

***

No. 3
ZrC2: relaxed, GGA-PBE.

CIF file:
```
data_ZrC2
_cell_length_a 2.890
_cell_length_b 2.890
_cell_length_c 13.800
_cell_angle_alpha 90.00
_cell_angle_beta 90.00
_cell_angle_gamma 90.00
_symmetry_space_group_name_H-M 'I 41/a m d'
_symmetry_Int_Tables_number 141
loop_
_symmetry_equiv_pos_as_xyz
'x,y,z'
'-x,-y,-z'
'-y+1/4,x+3/4,z+1/4'
'y+1/4,-x+3/4,-z+1/4'
'-x+1/2,-y,z+1/2'
'x+1/2,y,-z+1/2'
'y+1/4,-x+1/4,z+3/4'
'-y+1/4,x+1/4,-z+3/4'
'x,-y,-z'
'-x,y,z'
'-y+1/4,-x+1/4,-z+3/4'
'y+1/4,x+1/4,z+3/4'
'-x+1/2,y,-z+1/2'
'x+1/2,-y,z+1/2'
'y+1/4,x+3/4,-z+1/4'
'-y+1/4,-x+3/4,z+1/4'
'x+1/2,y+1/2,z+1/2'
'-x+1/2,-y+1/2,-z+1/2'
'-y+3/4,x+1/4,z+3/4'
'y+3/4,-x+1/4,-z+3/4'
'-x,-y+1/2,z'
'x,y+1/2,-z'
'y+3/4,-x+3/4,z+1/4'
'-y+3/4,x+3/4,-z+1/4'
'x+1/2,-y+1/2,-z+1/2'
'-x+1/2,y+1/2,z+1/2'
'-y+3/4,-x+3/4,-z+1/4'
'y+3/4,x+3/4,z+1/4'
'-x,y+1/2,-z'
'x,-y+1/2,z'
'y+3/4,x+1/4,-z+3/4'
'-y+3/4,-x+1/4,z+3/4'
loop_
_atom_site_label
_atom_site_fract_x
_atom_site_fract_y
_atom_site_fract_z
Zr1 0.000 0.250 0.375
C1 0.000 0.250 0.772
```

Computed properties:
Raw total energy = -8.685 eV/atom
Energy of formation from the pure elements = 313 meV/atom

***

Number 1: calculated density 5.784 g/cm3. Number 2: calculated density 6.471 g/cm3. Number 3: calculated density 6.643 g/cm3.